Entry 1:
Tb2Pm | PBE | relaxed

Geometry as POSCAR:
```
Tb2Pm
1.0
-4.291 -0.977 2.516
2.820 -5.068 -2.266
3.264 1.605 6.192
Pm Tb
2 4
direct
0.167 0.334 0.084 Pm
0.833 0.666 0.916 Pm
0.499 0.998 0.748 Tb
0.834 0.668 0.418 Tb
0.166 0.332 0.582 Tb
0.501 0.002 0.252 Tb
```

## Properties
Energy of formation from the pure elements in eV/atom: 0.01
Offset from the most stable computed form in eV/atom: 0.009
Total energy in eV per atom: -4.656
DOS(E_F) in states/eV/atom: 1.3240
Space-group type: No. 12

=====

Entry 2:
Tb3Pm13 | PBE | relaxed

Geometry as POSCAR:
```
Tb3Pm13
1.0
7.349 0.000 0.000
0.000 8.607 -0.831
0.000 0.117 8.646
Pm Tb
13 3
direct
0.000 0.709 0.793 Pm
0.750 0.541 0.459 Pm
0.250 0.541 0.459 Pm
0.249 0.960 0.543 Pm
0.751 0.457 0.040 Pm
0.000 0.207 0.291 Pm
0.500 0.792 0.208 Pm
0.751 0.960 0.543 Pm
0.500 0.291 0.709 Pm
0.500 0.710 0.793 Pm
0.500 0.207 0.290 Pm
0.000 0.793 0.207 Pm
0.249 0.457 0.040 Pm
0.751 0.042 0.958 Tb
0.249 0.042 0.958 Tb
0.000 0.290 0.710 Tb
```

## Properties
Energy of formation from the pure elements in eV/atom: 0.03
Offset from the most stable computed form in eV/atom: 0.015
Total energy in eV per atom: -4.699
DOS(E_F) in states/eV/atom: 1.7332
Space-group type: No. 38

=====

Entry 3:
Tb6Pm | PBE | relaxed

Geometry as POSCAR:
```
Tb6Pm
1.0
6.965 0.000 0.000
-2.322 6.567 0.000
-2.322 -3.283 5.687
Tb Pm
6 1
direct
0.750 0.250 0.500 Tb
0.500 0.250 0.750 Tb
0.500 0.750 0.250 Tb
0.250 0.750 0.500 Tb
0.750 0.500 0.250 Tb
0.250 0.500 0.750 Tb
0.000 0.000 0.000 Pm
```

## Properties
Energy of formation from the pure elements in eV/atom: 1.37
Offset from the most stable computed form in eV/atom: 1.116
Total energy in eV per atom: -3.276
DOS(E_F) in states/eV/atom: 0.8957
Space-group type: No. 229

=====

Entry 4:
Tb5Pm3 | PBE | relaxed

Geometry as POSCAR:
```
Tb5Pm3
1.0
-1.196 2.298 -2.490
2.462 -1.225 -2.313
-13.184 -14.022 -6.607
Tb Pm
5 3
direct
0.000 0.000 0.000 Tb
0.000 0.000 0.251 Tb
0.000 0.000 0.749 Tb
0.500 0.500 0.374 Tb
0.500 0.500 0.626 Tb
0.500 0.500 0.874 Pm
0.000 0.000 0.500 Pm
0.500 0.500 0.126 Pm
```

## Properties
Energy of formation from the pure elements in eV/atom: 0.02
Total energy in eV per atom: -4.659
DOS(E_F) in states/eV/atom: 1.3224
Space-group type: No. 123

=====

Entry 5:
TbPm3 | PBE | relaxed

Geometry as POSCAR:
```
TbPm3
1.0
6.307 0.000 0.000
0.000 7.285 0.000
0.000 0.000 11.743
Tb Pm
4 12
direct
0.416 0.126 0.250 Tb
0.916 0.374 0.250 Tb
0.084 0.626 0.750 Tb
0.584 0.874 0.750 Tb
0.249 0.375 0.001 Pm
0.751 0.625 0.501 Pm
0.416 0.625 0.250 Pm
0.249 0.375 0.499 Pm
0.749 0.125 0.499 Pm
0.251 0.875 0.999 Pm
0.749 0.125 0.001 Pm
0.084 0.125 0.750 Pm
0.916 0.875 0.250 Pm
0.751 0.625 0.999 Pm
0.584 0.375 0.750 Pm
0.251 0.875 0.501 Pm
```

## Properties
Energy of formation from the pure elements in eV/atom: 0.00
Offset from the most stable computed form in eV/atom: 0.000
Total energy in eV per atom: -4.721
DOS(E_F) in states/eV/atom: 1.2579
Space-group type: No. 62

=====

Entry 6:
Tb5Pm6 | PBE | relaxed

Geometry as POSCAR:
```
Tb5Pm6
1.0
-1.698 5.367 -0.406
-7.106 -5.433 -2.949
2.861 -1.386 8.866
Tb Pm
5 6
direct
0.500 0.799 0.201 Tb
0.000 0.662 0.338 Tb
0.500 0.201 0.799 Tb
0.500 0.500 0.500 Tb
0.000 0.338 0.662 Tb
0.793 0.930 0.655 Pm
0.708 0.207 0.207 Pm
0.292 0.793 0.793 Pm
0.207 0.345 0.070 Pm
0.793 0.655 0.930 Pm
0.207 0.070 0.345 Pm
```

## Properties
Energy of formation from the pure elements in eV/atom: 0.11
Offset from the most stable computed form in eV/atom: 0.000
Total energy in eV per atom: -4.587
DOS(E_F) in states/eV/atom: 1.4429
Space-group type: No. 12

=====

Entry 7:
TbPm3 | PBE | relaxed

Geometry as POSCAR:
```
TbPm3
1.0
-1.837 -4.434 1.820
-1.296 -1.417 -4.760
6.180 0.762 0.858
Pm Tb
3 1
direct
0.750 0.250 0.500 Pm
0.250 0.750 0.500 Pm
0.500 0.500 0.000 Pm
0.000 0.000 0.000 Tb
```

## Properties
Energy of formation from the pure elements in eV/atom: 0.01
Offset from the most stable computed form in eV/atom: 0.015
Total energy in eV per atom: -4.706
DOS(E_F) in states/eV/atom: 1.4568
Space-group type: No. 139

=====

Entry 8:
TbPm7 | PBE | relaxed

Geometry as POSCAR:
```
TbPm7
1.0
-5.144 4.861 1.668
-6.877 -1.128 -2.074
-5.071 -1.626 4.951
Pm Tb
7 1
direct
0.500 0.500 0.000 Pm
0.500 0.000 0.500 Pm
0.000 0.000 0.500 Pm
0.000 0.500 0.000 Pm
0.000 0.500 0.500 Pm
0.500 0.500 0.500 Pm
0.500 0.000 0.000 Pm
0.000 0.000 0.000 Tb
```

## Properties
Energy of formation from the pure elements in eV/atom: 0.01
Total energy in eV per atom: -4.727
DOS(E_F) in states/eV/atom: 1.2193
Space-group type: No. 225

=====

Entry 9:
Tb2Pm | PBE | relaxed

Geometry as POSCAR:
```
Tb2Pm
1.0
-0.210 0.831 -6.579
-5.666 -1.029 -3.294
-3.310 5.133 -2.592
Tb Pm
4 2
direct
0.625 0.625 0.125 Tb
0.625 0.125 0.625 Tb
0.625 0.625 0.625 Tb
0.125 0.625 0.625 Tb
0.000 0.000 0.000 Pm
0.250 0.250 0.250 Pm
```

## Properties
Energy of formation from the pure elements in eV/atom: 0.28
Offset from the most stable computed form in eV/atom: 0.271
Total energy in eV per atom: -4.393
DOS(E_F) in states/eV/atom: 2.1266
Space-group type: No. 227

=====

Entry 10:
Tb3Pm8 | PBE | relaxed

Geometry as POSCAR:
```
Tb3Pm8
1.0
7.372 -0.219 -1.879
-2.366 6.986 -1.880
-0.162 -0.219 7.606
Tb Pm
3 8
direct
0.500 0.000 0.500 Tb
0.000 0.500 0.500 Tb
0.500 0.500 0.000 Tb
0.176 0.071 0.683 Pm
0.683 0.176 0.071 Pm
0.929 0.317 0.824 Pm
0.731 0.731 0.731 Pm
0.824 0.929 0.317 Pm
0.071 0.683 0.176 Pm
0.269 0.269 0.269 Pm
0.317 0.824 0.929 Pm
```

## Properties
Energy of formation from the pure elements in eV/atom: 0.35
Offset from the most stable computed form in eV/atom: 0.000
Total energy in eV per atom: -4.364
DOS(E_F) in states/eV/atom: 1.1131
Space-group type: No. 148

=====

Entry 11:
TbPm2 | PBE | relaxed

Geometry as POSCAR:
```
TbPm2
1.0
-6.446 -0.115 -1.673
-4.039 -4.602 2.621
-4.628 1.776 4.449
Tb Pm
2 4
direct
0.000 0.000 0.000 Tb
0.250 0.250 0.250 Tb
0.625 0.125 0.625 Pm
0.125 0.625 0.625 Pm
0.625 0.625 0.625 Pm
0.625 0.625 0.125 Pm
```

## Properties
Energy of formation from the pure elements in eV/atom: 0.26
Offset from the most stable computed form in eV/atom: 0.246
Total energy in eV per atom: -4.449
DOS(E_F) in states/eV/atom: 1.6832
Space-group type: No. 227

=====

Entry 12:
Tb6Pm5 | PBE | relaxed

Geometry as POSCAR:
```
Tb6Pm5
1.0
9.133 0.000 -0.580
4.566 6.598 -0.290
2.348 0.000 5.996
Pm Tb
5 6
direct
0.240 0.521 0.500 Pm
0.371 0.259 0.000 Pm
0.629 0.741 0.000 Pm
0.760 0.479 0.500 Pm
0.500 0.000 0.500 Pm
0.165 0.000 0.311 Tb
0.953 0.740 0.172 Tb
0.693 0.260 0.172 Tb
0.047 0.260 0.828 Tb
0.835 0.000 0.689 Tb
0.307 0.740 0.828 Tb
```

## Properties
Energy of formation from the pure elements in eV/atom: 0.13
Offset from the most stable computed form in eV/atom: 0.022
Total energy in eV per atom: -4.550
DOS(E_F) in states/eV/atom: 1.1169
Space-group type: No. 12

=====

Entry 13:
Tb3Pm | PBE | relaxed

Geometry as POSCAR:
```
Tb3Pm
1.0
-3.127 1.525 4.525
1.662 -1.493 5.252
1.951 3.966 3.611
Tb Pm
3 1
direct
0.750 0.750 0.750 Tb
0.000 0.000 0.000 Tb
0.250 0.250 0.250 Tb
0.500 0.500 0.500 Pm
```

## Properties
Energy of formation from the pure elements in eV/atom: 0.14
Offset from the most stable computed form in eV/atom: 0.129
Total energy in eV per atom: -4.518
DOS(E_F) in states/eV/atom: 2.4882
Space-group type: No. 225

=====

Entry 14:
Tb13Pm3 | PBE | relaxed

Geometry as POSCAR:
```
Tb13Pm3
1.0
7.299 0.000 0.000
0.000 8.457 -0.887
0.000 0.045 8.504
Tb Pm
13 3
direct
0.750 0.542 0.458 Tb
0.251 0.957 0.540 Tb
0.000 0.209 0.292 Tb
0.500 0.707 0.789 Tb
0.500 0.211 0.293 Tb
0.749 0.460 0.043 Tb
0.500 0.791 0.209 Tb
0.500 0.292 0.708 Tb
0.000 0.790 0.210 Tb
0.000 0.708 0.791 Tb
0.749 0.957 0.540 Tb
0.250 0.542 0.458 Tb
0.251 0.460 0.043 Tb
0.000 0.292 0.708 Pm
0.749 0.041 0.959 Pm
0.251 0.041 0.959 Pm
```

## Properties
Energy of formation from the pure elements in eV/atom: 0.02
Offset from the most stable computed form in eV/atom: 0.005
Total energy in eV per atom: -4.634
DOS(E_F) in states/eV/atom: 1.7622
Space-group type: No. 38

=====

Entry 15:
TbPm2 | PBE | relaxed

Geometry as POSCAR:
```
TbPm2
1.0
3.622 0.000 0.000
0.000 3.622 0.000
-1.811 -1.811 7.684
Pm Tb
2 1
direct
0.665 0.665 0.331 Pm
0.335 0.335 0.669 Pm
0.000 0.000 0.000 Tb
```

## Properties
Energy of formation from the pure elements in eV/atom: 0.02
Offset from the most stable computed form in eV/atom: 0.001
Total energy in eV per atom: -4.694
DOS(E_F) in states/eV/atom: 1.3290
Space-group type: No. 139

=====

Entry 16:
Tb2Pm | PBE | relaxed

Geometry as POSCAR:
```
Tb2Pm
1.0
3.589 0.000 0.000
0.000 3.589 0.000
-1.795 -1.795 7.621
Tb Pm
2 1
direct
0.332 0.332 0.664 Tb
0.668 0.668 0.336 Tb
0.000 0.000 0.000 Pm
```

## Properties
Energy of formation from the pure elements in eV/atom: 0.02
Offset from the most stable computed form in eV/atom: 0.011
Total energy in eV per atom: -4.654
DOS(E_F) in states/eV/atom: 1.2754
Space-group type: No. 139

=====

Entry 17:
Tb3Pm | PBE | relaxed

Geometry as POSCAR:
```
Tb3Pm
1.0
-1.589 -2.558 -2.058
5.613 -2.657 -1.033
-2.718 -0.691 6.189
Pm Tb
1 3
direct
0.000 0.000 0.000 Pm
0.751 0.084 0.502 Tb
0.500 0.501 0.000 Tb
0.249 0.582 0.498 Tb
```

## Properties
Energy of formation from the pure elements in eV/atom: 0.02
Offset from the most stable computed form in eV/atom: 0.006
Total energy in eV per atom: -4.641
DOS(E_F) in states/eV/atom: 1.7605
Space-group type: No. 44

=====

Entry 18:
TbPm3 | PBE | relaxed

Geometry as POSCAR:
```
TbPm3
1.0
7.355 0.000 0.000
-3.677 6.369 0.000
0.000 0.000 5.831
Pm Tb
6 2
direct
0.334 0.167 0.750 Pm
0.167 0.334 0.250 Pm
0.833 0.167 0.750 Pm
0.833 0.666 0.750 Pm
0.666 0.833 0.250 Pm
0.167 0.833 0.250 Pm
0.333 0.667 0.750 Tb
0.667 0.333 0.250 Tb
```

## Properties
Energy of formation from the pure elements in eV/atom: 0.02
Offset from the most stable computed form in eV/atom: 0.024
Total energy in eV per atom: -4.696
DOS(E_F) in states/eV/atom: 1.7227
Space-group type: No. 194

=====

Entry 19:
TbPm2 | PBE | relaxed

Geometry as POSCAR:
```
TbPm2
1.0
0.599 -0.485 3.535
1.322 -9.475 0.327
5.991 1.563 1.050
Pm Tb
4 2
direct
0.247 0.253 0.253 Pm
0.082 0.085 0.751 Pm
0.753 0.747 0.747 Pm
0.918 0.915 0.249 Pm
0.585 0.582 0.248 Tb
0.415 0.418 0.752 Tb
```

## Properties
Energy of formation from the pure elements in eV/atom: 0.02
Offset from the most stable computed form in eV/atom: 0.000
Total energy in eV per atom: -4.695
DOS(E_F) in states/eV/atom: 1.3510
Space-group type: No. 12

=====

Entry 20:
Tb13Pm2 | PBE | relaxed

Geometry as POSCAR:
```
Tb13Pm2
1.0
6.630 -0.229 0.540
-1.184 8.667 0.511
0.217 -3.719 8.228
Pm Tb
2 13
direct
0.200 0.196 0.398 Pm
0.800 0.804 0.602 Pm
0.532 0.197 0.065 Tb
0.666 0.999 0.332 Tb
0.468 0.803 0.935 Tb
0.000 0.000 0.000 Tb
0.238 0.424 0.975 Tb
0.762 0.576 0.025 Tb
0.430 0.578 0.359 Tb
0.904 0.423 0.307 Tb
0.134 0.803 0.266 Tb
0.334 0.001 0.668 Tb
0.866 0.197 0.734 Tb
0.570 0.422 0.641 Tb
0.096 0.577 0.693 Tb
```

## Properties
Energy of formation from the pure elements in eV/atom: 0.05
Total energy in eV per atom: -4.601
DOS(E_F) in states/eV/atom: 1.7686
Space-group type: No. 2